Entry 1:
This record from OQMD describes a geometry-optimized BeReNiSn structure. The functional is GGA-PBE.

```
BeReNiSn
1.0
3.106 -1.301 2.590
-0.362 0.555 4.196
-0.616 -3.349 2.540
Be Ni Re Sn
1 1 1 1
Direct
0.250 0.250 0.250
0.750 0.750 0.750
0.500 0.500 0.500
0.000 0.000 0.000
```

Results
Its symmetry is F-43m (216). The total energy comes out at -6.011 eV per atom.



Entry 2:
This record from OQMD describes a geometry-optimized BeZnReNi structure. The functional is GGA-PBE.

```
BeZnReNi
1.0
0.000 2.879 2.879
2.879 0.000 2.879
2.879 2.879 0.000
Be Ni Re Zn
1 1 1 1
Direct
0.250 0.250 0.250
0.750 0.750 0.750
0.500 0.500 0.500
0.000 0.000 0.000
```

Results
Its symmetry is F-43m (216). The total energy comes out at -5.534 eV per atom.